Below is a relaxed Li2HoBr6 crystal, with properties calculated at the PBE-GGA level.

Cell and atoms, written as CIF:
```
data_Li2HoBr6
_chemical_formula_sum 'Li4 Ho2 Br12'
_cell_length_a 13.4958
_cell_length_b 4.1384
_cell_length_c 11.3811
_cell_angle_alpha 90.00
_cell_angle_beta 100.60
_cell_angle_gamma 90.00
_symmetry_space_group_name_H-M 'C 1 2/m 1'
_symmetry_Int_Tables_number 12
_symmetry_space_group_name_Hall '-C 2y'
loop_
_atom_site_label
_atom_site_fract_x
_atom_site_fract_y
_atom_site_fract_z
Li1 0.1793 0.0000 0.3891
Ho1 0.0000 0.0000 0.0000
Br1 0.0675 0.5000 0.8657
Br2 0.1316 0.5000 0.4935
Br3 0.1759 0.0000 0.1659
```

* VASP energy: -3.44 eV/atom
* uncorrected formation energy: -1387 meV/atom
* crystal system: monoclinic



Below is a relaxed RbCdSiAg2 crystal, with properties calculated at the PBE-GGA level.

Cell and atoms, written as CIF:
```
data_RbCdSiAg2
_chemical_formula_sum 'Rb1 Cd1 Si1 Ag2'
_cell_length_a 4.9483
_cell_length_b 4.9483
_cell_length_c 6.5423
_cell_angle_alpha 90.00
_cell_angle_beta 90.00
_cell_angle_gamma 90.00
_symmetry_space_group_name_H-M 'P 4/m m m'
_symmetry_Int_Tables_number 123
_symmetry_space_group_name_Hall '-P 4 2'
loop_
_atom_site_label
_atom_site_fract_x
_atom_site_fract_y
_atom_site_fract_z
Rb1 0.0000 0.0000 0.0000
Cd1 0.5000 0.5000 0.0000
Si1 0.0000 0.0000 0.5000
Ag1 0.0000 0.5000 0.5000
```

* VASP energy: -2.25 eV/atom
* uncorrected formation energy: 352 meV/atom
* distance to the lowest polymorph of the same formula: 222 meV/atom
* crystal system: tetragonal



Below is a relaxed SrRe2Ni crystal, with properties calculated at the PBE-GGA level.

Cell and atoms, written as CIF:
```
data_SrRe2Ni
_chemical_formula_sum 'Sr2 Re4 Ni2'
_cell_length_a 5.2916
_cell_length_b 10.0075
_cell_length_c 2.6444
_cell_angle_alpha 90.00
_cell_angle_beta 90.00
_cell_angle_gamma 90.00
_symmetry_space_group_name_H-M 'C m m m'
_symmetry_Int_Tables_number 65
_symmetry_space_group_name_Hall '-C 2 2'
loop_
_atom_site_label
_atom_site_fract_x
_atom_site_fract_y
_atom_site_fract_z
Sr1 0.0000 0.0000 0.0000
Re1 0.2500 0.2500 0.5000
Ni1 0.0000 0.5000 0.0000
```

* VASP energy: -7.05 eV/atom
* DFT formation energy: 1.0410 eV per atom
* distance to the lowest polymorph of the same formula: 639 meV/atom
* crystal system: orthorhombic



Below is a relaxed Sm3SnRh8 crystal, with properties calculated at the PBE-GGA level.

Cell and atoms, written as CIF:
```
data_Sm3SnRh8
_chemical_formula_sum 'Sm9 Sn3 Rh24'
_cell_length_a 5.3478
_cell_length_b 5.3478
_cell_length_c 26.3801
_cell_angle_alpha 90.00
_cell_angle_beta 90.00
_cell_angle_gamma 120.00
_symmetry_space_group_name_H-M 'R 3 m'
_symmetry_Int_Tables_number 160
_symmetry_space_group_name_Hall 'R 3 -2"'
loop_
_atom_site_label
_atom_site_fract_x
_atom_site_fract_y
_atom_site_fract_z
Sm1 0.0000 0.0000 0.0000
Sm2 0.0000 0.0000 0.1277
Sm3 0.0000 0.0000 0.6197
Sn1 0.0000 0.0000 0.4970
Rh1 0.0000 0.0000 0.3118
Rh2 0.0000 0.0000 0.8123
Rh3 0.0005 0.5002 0.5613
Rh4 0.0018 0.5009 0.0623
```

* VASP energy: -7.00 eV/atom
* DFT formation energy: -0.5822 eV per atom
* crystal system: trigonal



Below is a relaxed DyCoBRh2 crystal, with properties calculated at the PBE-GGA level.

Cell and atoms, written as CIF:
```
data_DyCoBRh2
_chemical_formula_sum 'Dy1 Co1 B1 Rh2'
_cell_length_a 4.1940
_cell_length_b 4.1940
_cell_length_c 4.0181
_cell_angle_alpha 90.00
_cell_angle_beta 90.00
_cell_angle_gamma 90.00
_symmetry_space_group_name_H-M 'P 4/m m m'
_symmetry_Int_Tables_number 123
_symmetry_space_group_name_Hall '-P 4 2'
loop_
_atom_site_label
_atom_site_fract_x
_atom_site_fract_y
_atom_site_fract_z
Dy1 0.0000 0.0000 0.0000
Co1 0.5000 0.5000 0.0000
B1 0.5000 0.5000 0.5000
Rh1 0.0000 0.5000 0.5000
```

* VASP energy: -7.25 eV/atom
* DFT formation energy: -0.6369 eV per atom
* crystal system: tetragonal



Below is a relaxed PrErSi4 crystal, with properties calculated at the PBE-GGA level.

Cell and atoms, written as CIF:
```
data_PrErSi4
_chemical_formula_sum 'Pr4 Er4 Si16'
_cell_length_a 8.2268
_cell_length_b 14.7415
_cell_length_c 4.1117
_cell_angle_alpha 90.00
_cell_angle_beta 90.00
_cell_angle_gamma 90.00
_symmetry_space_group_name_H-M 'P b a m'
_symmetry_Int_Tables_number 55
_symmetry_space_group_name_Hall '-P 2 2ab'
loop_
_atom_site_label
_atom_site_fract_x
_atom_site_fract_y
_atom_site_fract_z
Pr1 0.1190 0.1399 0.0000
Er1 0.1395 0.4122 0.0000
Si1 0.0158 0.2967 0.5000
Si2 0.1216 0.5555 0.5000
Si3 0.1256 0.9622 0.5000
Si4 0.1966 0.8038 0.5000
```

* VASP energy: -5.63 eV/atom
* uncorrected formation energy: -459 meV/atom
* crystal system: orthorhombic



Below is a relaxed Sc2TlRe crystal, with properties calculated at the PBE-GGA level.

Cell and atoms, written as CIF:
```
data_Sc2TlRe
_chemical_formula_sum 'Sc4 Tl2 Re2'
_cell_length_a 8.8338
_cell_length_b 3.1508
_cell_length_c 6.1035
_cell_angle_alpha 90.00
_cell_angle_beta 100.14
_cell_angle_gamma 90.00
_symmetry_space_group_name_H-M 'C 1 2/m 1'
_symmetry_Int_Tables_number 12
_symmetry_space_group_name_Hall '-C 2y'
loop_
_atom_site_label
_atom_site_fract_x
_atom_site_fract_y
_atom_site_fract_z
Sc1 0.2390 0.0000 0.2223
Tl1 0.0000 0.0000 0.5000
Re1 0.0000 0.5000 0.0000
```

* VASP energy: -6.66 eV/atom
* DFT formation energy: 0.2086 eV per atom
* crystal system: monoclinic



Below is a relaxed TbPm2Ni6 crystal, with properties calculated at the PBE-GGA level.

Cell and atoms, written as CIF:
```
data_TbPm2Ni6
_chemical_formula_sum 'Tb1 Pm2 Ni6'
_cell_length_a 6.9268
_cell_length_b 6.9268
_cell_length_c 3.9076
_cell_angle_alpha 90.00
_cell_angle_beta 90.00
_cell_angle_gamma 120.00
_symmetry_space_group_name_H-M 'P 6/m m m'
_symmetry_Int_Tables_number 191
_symmetry_space_group_name_Hall '-P 6 2'
loop_
_atom_site_label
_atom_site_fract_x
_atom_site_fract_y
_atom_site_fract_z
Tb1 0.0000 0.0000 0.0000
Pm1 0.3333 0.6667 0.0000
Ni1 0.0000 0.3320 0.5000
```

* VASP energy: -5.77 eV/atom
* DFT formation energy: -0.3503 eV per atom
* crystal system: hexagonal



Number 2 is which compound? RbCdSiAg2